A geometry-optimized LiMg4CdAg2 structure, computed with GGA-PBE.

Cell lengths 4.7528, 4.7528, 23.5339 Å; angles 90.00, 90.00, 120.00 degrees
Space group R-3m (No. 166, hexagonal axes)
Asymmetric unit:
Li 0.0000 0.0000 0.0000 x3
Mg 0.0000 0.0000 0.1231 x6
Mg 0.0000 0.0000 0.3740 x6
Cd 0.0000 0.0000 0.5000 x3
Ag 0.0000 0.0000 0.2526 x6

Output
Spin magnetization = 0.000 Bohr magnetons per cell
E_tot = -2.05 eV per atom
Formation energy = -1.490 eV per formula unit
DOS(E_F) = 1.97 states/eV/f.u.

=====

A geometry-optimized Li2MgCd2Ag2 structure, computed with GGA-PBE.

Cell lengths 9.2493, 4.2119, 6.6975 Å; angles 90.00, 99.06, 90.00 degrees
Space group C2/m (No. 12)
Asymmetric unit:
Li 0.0812 0.0000 0.2203 x4
Mg 0.0000 0.5000 0.5000 x2
Cd 0.1397 0.5000 0.9306 x4
Ag 0.2080 0.0000 0.6377 x4

Output
Spin magnetization = 0.000 Bohr magnetons per cell
E_tot = -2.06 eV per atom
Formation energy = -1.482 eV per formula unit
DOS(E_F) = 2.06 states/eV/f.u.